(1)
Density functional theory data (PBE-GGA) for a relaxed Mg3Cd2Pb crystal.

Computed properties:
- calculated formation energy (eV/atom) = -0.090
- total DFT energy (no corrections) (eV per atom) = -1.810

a b c (Å): 3.372 3.372 12.217
angles (deg): 90.00 90.00 90.00
Space group P4/mmm (No. 123)
Inequivalent atoms, fractional coordinates:
Mg  0.000  0.000  0.000 (multiplicity 1)
Mg  0.000  0.000  0.316 (multiplicity 2)
Cd  0.500  0.500  0.160 (multiplicity 2)
Pb  0.500  0.500  0.500 (multiplicity 1)

---

(2)
Density functional theory data (PBE-GGA) for a relaxed CrSbBr2 crystal.

Computed properties:
- E_form (uncorrected) (eV/f.u.) = 1.66
- total DFT energy (no corrections) (eV per atom) = -3.858

a b c (Å): 7.338 7.338 7.338
angles (deg): 90.00 90.00 90.00
Space group Fm-3m (No. 225)
Inequivalent atoms, fractional coordinates:
Cr  0.000  0.000  0.000 (multiplicity 4)
Sb  0.000  0.000  0.500 (multiplicity 4)
Br  0.250  0.250  0.250 (multiplicity 8)

---

(3)
Density functional theory data (PBE-GGA) for a relaxed Tb2Nd3Tm4 crystal.

Computed properties:
- calculated formation energy (eV/atom) = 0.021
- total DFT energy (no corrections) (eV per atom) = -4.585

a b c (Å): 6.176 6.181 7.962
angles (deg): 75.16 82.72 80.35
Space group P-1 (No. 2)
Inequivalent atoms, fractional coordinates:
Tb  0.166  0.332  0.166 (multiplicity 2)
Nd  0.389  0.442  0.724 (multiplicity 2)
Nd  0.500  0.000  0.500 (multiplicity 1)
Tm  0.054  0.778  0.388 (multiplicity 2)
Tm  0.275  0.889  0.947 (multiplicity 2)

---

(4)
Density functional theory data (PBE-GGA) for a relaxed HfMnN2 crystal.

Computed properties:
- E_form (uncorrected) (eV/f.u.) = -3.17
- total DFT energy (no corrections) (eV per atom) = -9.735

a b c (Å): 3.1886 3.1886 16.1531
angles (deg): 90.00 90.00 120.00
Space group R3m (No. 160, hexagonal axes)
Inequivalent atoms, fractional coordinates:
Hf  0.0000  0.0000  0.0000 (multiplicity 3)
Mn  0.0000  0.0000  0.1750 (multiplicity 3)
N  0.0000  0.0000  0.4072 (multiplicity 3)
N  0.0000  0.0000  0.5897 (multiplicity 3)

---

(5)
Density functional theory data (PBE-GGA) for a relaxed BaCe2BiO8 crystal.

Computed properties:
- E_form (uncorrected) (eV/f.u.) = -28.00
- total DFT energy (no corrections) (eV per atom) = -7.112

a b c (Å): 3.808 8.639 5.527
angles (deg): 90.00 90.10 90.00
Space group P2/m (No. 10)
Inequivalent atoms, fractional coordinates:
Ba  0.000  0.000  0.000 (multiplicity 1)
Ce  0.500  0.282  0.500 (multiplicity 2)
Bi  0.000  0.500  0.000 (multiplicity 1)
O  0.001  0.270  0.258 (multiplicity 4)
O  0.495  0.000  0.632 (multiplicity 2)
O  0.499  0.500  0.747 (multiplicity 2)

---

(6)
Density functional theory data (PBE-GGA) for a relaxed CoRe2Br crystal.

Computed properties:
- E_form (uncorrected) (eV/f.u.) = 5.69
- total DFT energy (no corrections) (eV per atom) = -6.997

a b c (Å): 3.701 3.701 4.446
angles (deg): 90.00 90.00 90.00
Space group P4/mmm (No. 123)
Inequivalent atoms, fractional coordinates:
Co  0.000  0.000  0.000 (multiplicity 1)
Re  0.000  0.500  0.500 (multiplicity 2)
Br  0.500  0.500  0.000 (multiplicity 1)

---

(7)
Density functional theory data (PBE-GGA) for a relaxed CaBPtO4 crystal.

Computed properties:
- E_form (uncorrected) (eV/f.u.) = -11.39
- total DFT energy (no corrections) (eV per atom) = -6.563

a b c (Å): 5.746 8.615 6.395
angles (deg): 90.00 90.00 90.00
Space group Cmcm (No. 63)
Inequivalent atoms, fractional coordinates:
Ca  0.000  0.000  0.000 (multiplicity 4)
B  0.000  0.371  0.250 (multiplicity 4)
Pt  0.000  0.311  0.750 (multiplicity 4)
O  0.000  0.271  0.062 (multiplicity 8)
O  0.208  0.475  0.250 (multiplicity 8)

---

(8)
Density functional theory data (PBE-GGA) for a relaxed Ac3Pd3Au crystal.

Computed properties:
- calculated formation energy (eV/atom) = -0.629
- total DFT energy (no corrections) (eV per atom) = -5.083

a b c (Å): 9.1596 9.1596 6.0644
angles (deg): 90.00 90.00 120.00
Space group P6_3/m (No. 176)
Inequivalent atoms, fractional coordinates:
Ac  0.0519  0.6814  0.2500 (multiplicity 6)
Pd  0.0420  0.6935  0.7500 (multiplicity 6)
Au  0.3333  0.6667  0.7500 (multiplicity 2)

---

(9)
Density functional theory data (PBE-GGA) for a relaxed Tb8TlIn5 crystal.

Computed properties:
- calculated formation energy (eV/atom) = -0.311
- total DFT energy (no corrections) (eV per atom) = -4.104

a b c (Å): 9.348 9.348 9.362
angles (deg): 90.00 90.00 90.00
Space group I-4 (No. 82)
Inequivalent atoms, fractional coordinates:
Tb  0.075  0.175  0.300 (multiplicity 8)
Tb  0.075  0.324  0.949 (multiplicity 8)
Tl  0.000  0.500  0.250 (multiplicity 2)
In  0.000  0.000  0.000 (multiplicity 2)
In  0.125  0.249  0.625 (multiplicity 8)

---

(10)
Density functional theory data (PBE-GGA) for a relaxed NaPrReO6 crystal.

Computed properties:
- E_form (uncorrected) (eV/f.u.) = -17.51
- total DFT energy (no corrections) (eV per atom) = -7.312

a b c (Å): 5.579 9.752 4.959
angles (deg): 90.00 91.59 90.00
Space group C2 (No. 5)
Inequivalent atoms, fractional coordinates:
Na  0.000  0.000  0.000 (multiplicity 2)
Pr  0.000  0.676  0.500 (multiplicity 2)
Re  0.000  0.324  0.000 (multiplicity 2)
O  0.107  0.492  0.810 (multiplicity 4)
O  0.144  0.207  0.767 (multiplicity 4)
O  0.218  0.830  0.783 (multiplicity 4)

---

(11)
Density functional theory data (PBE-GGA) for a relaxed VZn2Cu8 crystal.

Computed properties:
- calculated formation energy (eV/atom) = 0.197
- total DFT energy (no corrections) (eV per atom) = -3.842

a b c (Å): 7.545 10.126 3.873
angles (deg): 90.00 90.00 90.00
Space group Cmmm (No. 65)
Inequivalent atoms, fractional coordinates:
V  0.000  0.000  0.000 (multiplicity 2)
Zn  0.000  0.378  0.500 (multiplicity 4)
Cu  0.000  0.246  0.000 (multiplicity 4)
Cu  0.167  0.131  0.500 (multiplicity 8)
Cu  0.167  0.500  0.000 (multiplicity 4)

---

(12)
Density functional theory data (PBE-GGA) for a relaxed SrSmSe2F crystal.

Computed properties:
- E_form (uncorrected) (eV/f.u.) = -12.42
- total DFT energy (no corrections) (eV per atom) = -5.531

a b c (Å): 4.165 4.165 14.783
angles (deg): 90.00 90.00 90.00
Space group P4/nmm (No. 129, origin choice 2)
Inequivalent atoms, fractional coordinates:
Sr  0.250  0.250  0.096 (multiplicity 2)
Sm  0.250  0.250  0.624 (multiplicity 2)
Se  0.250  0.250  0.409 (multiplicity 2)
Se  0.250  0.250  0.805 (multiplicity 2)
F  0.250  0.750  0.000 (multiplicity 2)

---

(13)
Density functional theory data (PBE-GGA) for a relaxed Dy6BiPt2Se3 crystal.

Computed properties:
- E_form (uncorrected) (eV/f.u.) = -16.73
- total DFT energy (no corrections) (eV per atom) = -5.897

a b c (Å): 18.457 4.099 8.532
angles (deg): 90.00 106.19 90.00
Space group C2/m (No. 12)
Inequivalent atoms, fractional coordinates:
Dy  0.008  0.000  0.269 (multiplicity 4)
Dy  0.171  0.500  0.577 (multiplicity 4)
Dy  0.176  0.500  0.115 (multiplicity 4)
Bi  0.000  0.500  0.000 (multiplicity 2)
Pt  0.170  0.000  0.344 (multiplicity 4)
Se  0.000  0.500  0.500 (multiplicity 2)
Se  0.161  0.000  0.842 (multiplicity 4)

---

(14)
Density functional theory data (PBE-GGA) for a relaxed RbPuIn2Bi2 crystal.

Computed properties:
- calculated formation energy (eV/atom) = -0.166
- total DFT energy (no corrections) (eV per atom) = -4.922

a b c (Å): 5.3618 5.3618 8.7853
angles (deg): 90.00 90.00 120.00
Space group P-3m1 (No. 164)
Inequivalent atoms, fractional coordinates:
Rb  0.0000  0.0000  0.0000 (multiplicity 1)
Pu  0.0000  0.0000  0.5000 (multiplicity 1)
In  0.3333  0.6667  0.6531 (multiplicity 2)
Bi  0.3333  0.6667  0.2789 (multiplicity 2)

---

(15)
Density functional theory data (PBE-GGA) for a relaxed Tc2HgRu crystal.

Computed properties:
- calculated formation energy (eV/atom) = 0.317
- total DFT energy (no corrections) (eV per atom) = -7.260

a b c (Å): 2.8246 2.8246 27.6303
angles (deg): 90.00 90.00 120.00
Space group R3m (No. 160, hexagonal axes)
Inequivalent atoms, fractional coordinates:
Tc  0.0000  0.0000  0.0000 (multiplicity 3)
Tc  0.0000  0.0000  0.2571 (multiplicity 3)
Hg  0.0000  0.0000  0.4993 (multiplicity 3)
Ru  0.0000  0.0000  0.7426 (multiplicity 3)

---

(16)
Density functional theory data (PBE-GGA) for a relaxed HgTeMo2 crystal.

Computed properties:
- E_form (uncorrected) (eV/f.u.) = 2.54
- total DFT energy (no corrections) (eV per atom) = -5.642

a b c (Å): 6.634 6.634 6.634
angles (deg): 90.00 90.00 90.00
Space group Fm-3m (No. 225)
Inequivalent atoms, fractional coordinates:
Hg  0.000  0.000  0.000 (multiplicity 4)
Te  0.000  0.000  0.500 (multiplicity 4)
Mo  0.250  0.250  0.250 (multiplicity 8)

---

(17)
Density functional theory data (PBE-GGA) for a relaxed BaAgP2N crystal.

Computed properties:
- E_form (uncorrected) (eV/f.u.) = 2.59
- total DFT energy (no corrections) (eV per atom) = -4.266

a b c (Å): 4.649 4.649 4.447
angles (deg): 90.00 90.00 90.00
Space group P4/mmm (No. 123)
Inequivalent atoms, fractional coordinates:
Ba  0.000  0.000  0.000 (multiplicity 1)
Ag  0.500  0.500  0.000 (multiplicity 1)
P  0.000  0.500  0.500 (multiplicity 2)
N  0.500  0.500  0.500 (multiplicity 1)

---

(18)
Density functional theory data (PBE-GGA) for a relaxed KZnGaAu2 crystal.

Computed properties:
- calculated formation energy (eV/atom) = -0.277
- total DFT energy (no corrections) (eV per atom) = -2.668

a b c (Å): 4.569 4.569 11.125
angles (deg): 90.00 90.00 90.00
Space group I-4m2 (No. 119)
Inequivalent atoms, fractional coordinates:
K  0.000  0.000  0.000 (multiplicity 2)
Zn  0.000  0.500  0.750 (multiplicity 2)
Ga  0.000  0.500  0.250 (multiplicity 2)
Au  0.000  0.000  0.372 (multiplicity 4)

---

(19)
Density functional theory data (PBE-GGA) for a relaxed Pr4PdS2Cl crystal.

Computed properties:
- E_form (uncorrected) (eV/f.u.) = -12.36
- total DFT energy (no corrections) (eV per atom) = -5.846

a b c (Å): 7.220 4.051 7.358
angles (deg): 90.00 108.71 90.00
Space group P2/m (No. 10)
Inequivalent atoms, fractional coordinates:
Pr  0.239  0.000  0.229 (multiplicity 2)
Pr  0.246  0.500  0.756 (multiplicity 2)
Pd  0.000  0.000  0.500 (multiplicity 1)
S  0.000  0.500  0.000 (multiplicity 1)
S  0.500  0.000  0.000 (multiplicity 1)
Cl  0.500  0.500  0.500 (multiplicity 1)

---

(20)
Density functional theory data (PBE-GGA) for a relaxed LaTb2Tl3Se6 crystal.

Computed properties:
- E_form (uncorrected) (eV/f.u.) = -16.92
- total DFT energy (no corrections) (eV per atom) = -4.926

a b c (Å): 7.412 12.831 8.130
angles (deg): 90.00 107.67 90.00
Space group C2/m (No. 12)
Inequivalent atoms, fractional coordinates:
La  0.000  0.000  0.000 (multiplicity 2)
Tb  0.000  0.333  0.000 (multiplicity 4)
Tl  0.000  0.165  0.500 (multiplicity 4)
Tl  0.000  0.500  0.500 (multiplicity 2)
Se  0.224  0.500  0.205 (multiplicity 4)
Se  0.241  0.172  0.208 (multiplicity 8)

---

(21)
Density functional theory data (PBE-GGA) for a relaxed LuHgRh crystal.

Computed properties:
- calculated formation energy (eV/atom) = -0.438
- total DFT energy (no corrections) (eV per atom) = -4.496

a b c (Å): 4.6726 4.6726 3.2634
angles (deg): 90.00 90.00 120.00
Space group P3m1 (No. 156)
Inequivalent atoms, fractional coordinates:
Lu  0.0000  0.0000  0.0000 (multiplicity 1)
Hg  0.3333  0.6667  0.4994 (multiplicity 1)
Rh  0.6667  0.3333  0.5039 (multiplicity 1)

---

(22)
Density functional theory data (PBE-GGA) for a relaxed K4La3UTe8 crystal.

Computed properties:
- E_form (uncorrected) (eV/f.u.) = -21.25
- total DFT energy (no corrections) (eV per atom) = -4.803

a b c (Å): 9.3601 9.3601 24.6963
angles (deg): 90.00 90.00 120.00
Space group R-3m (No. 166, hexagonal axes)
Inequivalent atoms, fractional coordinates:
K  0.0000  0.0000  0.0000 (multiplicity 3)
K  0.0000  0.5000  0.0000 (multiplicity 9)
La  0.0000  0.5000  0.5000 (multiplicity 9)
U  0.0000  0.0000  0.5000 (multiplicity 3)
Te  0.0000  0.0000  0.2392 (multiplicity 6)
Te  0.0060  0.5030  0.2382 (multiplicity 18)

---

(23)
Density functional theory data (PBE-GGA) for a relaxed Ca2AlOs crystal.

Computed properties:
- calculated formation energy (eV/atom) = 0.071
- total DFT energy (no corrections) (eV per atom) = -4.673

a b c (Å): 11.180 3.598 5.088
angles (deg): 90.00 115.98 90.00
Space group Cm (No. 8)
Inequivalent atoms, fractional coordinates:
Ca  0.000  0.000  0.000 (multiplicity 2)
Ca  0.205  0.000  0.697 (multiplicity 2)
Al  0.420  0.000  0.420 (multiplicity 2)
Os  0.256  0.500  0.242 (multiplicity 2)

---

(24)
Density functional theory data (PBE-GGA) for a relaxed PrGdMgPd crystal.

Computed properties:
- calculated formation energy (eV/atom) = -0.345
- total DFT energy (no corrections) (eV per atom) = -6.757

a b c (Å): 7.432 7.432 7.432
angles (deg): 90.00 90.00 90.00
Space group F-43m (No. 216)
Inequivalent atoms, fractional coordinates:
Pr  0.000  0.000  0.000 (multiplicity 4)
Gd  0.000  0.000  0.500 (multiplicity 4)
Mg  0.250  0.250  0.250 (multiplicity 4)
Pd  0.250  0.250  0.750 (multiplicity 4)

---

(25)
Density functional theory data (PBE-GGA) for a relaxed Tc2PdCl crystal.

Computed properties:
- E_form (uncorrected) (eV/f.u.) = 3.21
- total DFT energy (no corrections) (eV per atom) = -6.140

a b c (Å): 6.187 6.187 6.187
angles (deg): 90.00 90.00 90.00
Space group Fm-3m (No. 225)
Inequivalent atoms, fractional coordinates:
Tc  0.250  0.250  0.250 (multiplicity 8)
Pd  0.000  0.000  0.000 (multiplicity 4)
Cl  0.000  0.000  0.500 (multiplicity 4)